DFT (PBE-GGA) results for a geometry-optimized In5Se structure.

Results
E above lowest polymorph in meV/atom: 28
Crystal system: orthorhombic
Formation energy from raw total energies in eV per formula unit: -0.39
Symmetry: No. 38

Unit cell a=8.2151 b=8.2151 c=5.1871 alpha=90.00 beta=90.00 gamma=152.42
Last column: nearest neighbours and their distance in Å.
Positions (direct):
In1 0.4866 0.5134 0.5000  2 Se 3.12, 4 In 3.26
In2 0.3087 0.6913 0.0000  8 In 3.23-3.34
In3 0.7906 0.2094 0.5000  2 Se 3.11, 4 In 3.26
In4 0.9697 0.0303 0.0000  8 In 3.23-3.34
In5 0.6391 0.3609 0.0000  4 Se 3.25, 8 In 3.34-3.56
Se1 0.1387 0.8613 0.5000  8 In 3.11-3.25



DFT (PBE-GGA) results for a geometry-optimized InSe3 structure.

Results
Crystal system: triclinic
Formation energy from raw total energies in eV per formula unit: -0.86
Symmetry: No. 1

Unit cell a=5.9906 b=6.7473 c=7.6231 alpha=72.21 beta=88.89 gamma=78.20
Last column: nearest neighbours and their distance in Å.
Positions (direct):
Se1 0.0306 0.3834 0.2666  2 Se 2.36-2.58
Se2 0.8128 0.7364 0.7966  1 Se 2.39, 1 In 2.58
Se3 0.9127 0.8303 0.0577  1 Se 2.39, 1 In 2.65
Se4 0.6490 0.3382 0.2925  1 Se 2.36
Se5 0.2512 0.9924 0.3810  1 Se 2.58, 2 In 2.71-2.72
Se6 0.3112 0.3130 0.7969  2 In 2.54-2.55
In1 0.5225 0.0752 0.6183  4 Se 2.54-2.77
In2 0.5340 0.0925 0.0992  4 Se 2.55-2.72



DFT (PBE-GGA) results for a geometry-optimized InSe3 structure.

Results
Crystal system: monoclinic
Formation energy from raw total energies in eV per formula unit: -0.65
Symmetry: No. 8

Unit cell a=4.1453 b=4.1456 c=7.8548 alpha=95.06 beta=102.01 gamma=115.93
Last column: nearest neighbours and their distance in Å.
Positions (direct):
In1 0.8399 0.3123 0.5407  4 Se 2.66-2.75
Se1 0.2702 0.0404 0.6995  3 In 2.66-2.75
Se2 0.4336 0.4390 0.2603  2 Se 2.47, 1 In 2.72
Se3 0.9112 0.8227 0.1214  2 Se 2.47



DFT (PBE-GGA) results for a geometry-optimized In3Se structure.

Results
Crystal system: cubic
Formation energy from raw total energies in eV per formula unit: 1.64
Symmetry: No. 221

Unit cell a=5.8957 b=5.8957 c=5.8957 alpha=90.00 beta=90.00 gamma=90.00
Last column: nearest neighbours and their distance in Å.
Positions (direct):
Se1 0.0000 0.0000 0.0000  6 In 2.95
In1 0.0000 0.0000 0.5000  2 Se 2.95
In2 0.5000 0.0000 0.0000  2 Se 2.95
In3 0.0000 0.5000 0.0000  2 Se 2.95



Respective density values: 6.69 4.07 5.02 3.43 Mg/m³.